No. 1
{"formula": "HgP2W", "functional": "PBE", "state": "relaxed", "magmom_total_mub_per_fu": 0.00, "formation_energy_ev_per_atom": 1.095, "n_ef_per_ev_atom": 0.891, "lattice_angstrom": [[0.000, 3.234, 3.234], [3.234, 0.000, 3.234], [3.234, 3.234, 0.000]], "species": ["Hg", "P", "P", "W"], "fractional_positions": [[0.000, 0.000, 0.000], [0.500, 0.500, 0.500], [0.750, 0.750, 0.750], [0.250, 0.250, 0.250]]}


No. 2
{"formula": "MgCr2Ag", "functional": "PBE", "state": "relaxed", "magmom_total_mub_per_fu": 0.21, "formation_energy_ev_per_atom": 0.215, "n_ef_per_ev_atom": 0.652, "lattice_angstrom": [[3.066, 0.000, 0.000], [0.000, 3.066, 0.000], [0.000, 0.000, 6.785]], "species": ["Mg", "Cr", "Cr", "Ag"], "fractional_positions": [[0.000, 0.000, 0.000], [0.000, 0.000, 0.557], [0.500, 0.500, 0.713], [0.500, 0.500, 0.274]]}